Material: V2TcF
Method: DFT, GGA+U
State: relaxed

Output
Its polymorph energy (0 for the lowest one) is 261.0 meV per atom.

Cell lengths 6.210, 6.210, 6.210 Å; angles 90.00, 90.00, 90.00 degrees
Space group Fm-3m (No. 225)
One atom of each set of equivalent atoms:
V: 0.250 0.250 0.250 (multiplicity 8)
Tc: 0.000 0.000 0.000 (multiplicity 4)
F: 0.000 0.000 0.500 (multiplicity 4)